DFT (GGA-PBE) results for crystalline Pr2NdCd3 at its relaxed geometry.

The structure in extended XYZ format:
```
6
Lattice="-1.729 3.391 -0.701 -3.319 -1.847 -0.747 -2.981 0.804 11.251" Properties=species:S:1:pos:R:3 pbc="T T T"
Cd -1.002 0.270 3.782
Cd -1.979 0.534 7.468
Cd 0.000 0.000 0.000
Pr -3.024 0.907 1.163
Pr -5.005 1.442 8.639
Nd -4.015 1.174 4.901
```

Calculated values
Size of the total moment (Bohr magnetons per cell): 1.21
Polymorph energy (0 for the lowest one) (meV per atom): 3.7
Uncorrected energy (eV per atom): -3.162
ΔH_f (0 K) (eV per atom): -0.317

=====

DFT (GGA-PBE) results for crystalline LiCuNi at its relaxed geometry.

The structure in extended XYZ format:
```
3
Lattice="-1.933 4.598 -3.319 -4.670 2.404 -2.882 2.841 -2.634 4.570" Properties=species:S:1:pos:R:3 pbc="T T T"
Cu -0.048 0.051 -0.045
Ni -4.378 4.643 -4.112
Li -2.177 2.309 -2.045
```

Calculated values
Size of the total moment (Bohr magnetons per cell): 0.14
Polymorph energy (0 for the lowest one) (meV per atom): 72.0
Uncorrected energy (eV per atom): -3.906
ΔH_f (0 K) (eV per atom): 0.025

=====

DFT (GGA-PBE) results for crystalline Sm6Bi2Pb at its relaxed geometry.

The structure in extended XYZ format:
```
18
Lattice="-3.112 2.078 5.257 -5.697 -6.370 -0.854 6.133 -6.296 6.046" Properties=species:S:1:pos:R:3 pbc="T T T"
Pb 3.067 -3.148 3.023
Pb -4.404 -2.146 2.202
Sm 0.340 -3.477 6.360
Sm -0.940 -8.587 9.826
Sm -2.920 -3.334 4.618
Sm 0.412 -4.765 3.148
Sm -3.015 -7.109 4.089
Sm 0.245 -7.252 5.831
Sm -6.771 -5.741 5.078
Sm -3.087 -5.821 7.301
Sm -1.735 -2.000 0.624
Sm -5.661 -4.902 1.490
Sm 2.986 -5.685 8.959
Sm 4.096 -4.845 5.371
Bi -0.357 -5.363 8.980
Bi -0.309 -1.512 3.562
Bi -2.366 -9.075 6.888
Bi -2.318 -5.224 1.470
```

Calculated values
Size of the total moment (Bohr magnetons per cell): 0.01
Uncorrected energy (eV per atom): -4.859
ΔH_f (0 K) (eV per atom): -0.439

=====

DFT (GGA-PBE) results for crystalline ZrScCo2 at its relaxed geometry.

The structure in extended XYZ format:
```
4
Lattice="6.393 -0.024 -0.014 5.296 3.581 -0.014 5.296 1.612 3.198" Properties=species:S:1:pos:R:3 pbc="T T T"
Zr 12.183 3.708 2.273
Sc 9.023 2.746 1.683
Co 16.266 4.950 3.035
Co 4.991 1.519 0.931
```

Calculated values
Size of the total moment (Bohr magnetons per cell): 0.00
Uncorrected energy (eV per atom): -7.366
ΔH_f (0 K) (eV per atom): -0.093

=====

DFT (GGA-PBE) results for crystalline Sm4GaSb3 at its relaxed geometry.

The structure in extended XYZ format:
```
8
Lattice="-5.843 -1.578 1.613 1.845 -0.763 5.937 -1.299 6.014 1.177" Properties=species:S:1:pos:R:3 pbc="T T T"
Sb -3.571 2.218 1.395
Sb -1.999 -1.171 3.775
Sb 0.273 2.625 3.557
Sm -0.650 3.007 0.588
Sm -2.922 -0.789 0.806
Sm -2.649 1.836 4.363
Sm 0.922 -0.382 2.969
Ga 0.000 0.000 0.000
```

Calculated values
Raw formation energy (meV per atom): -925
Size of the total moment (Bohr magnetons per cell): 0.00
Uncorrected energy (eV per atom): -5.208

=====

DFT (GGA-PBE) results for crystalline KHgPI2 at its relaxed geometry.

The structure in extended XYZ format:
```
5
Lattice="-1.071 5.526 -0.153 -5.805 -1.183 -2.087 -1.865 -0.214 5.308" Properties=species:S:1:pos:R:3 pbc="T T T"
I -0.535 2.763 -0.077
I -0.932 -0.107 2.654
K -2.903 -0.591 -1.044
P 0.000 0.000 0.000
Hg -4.370 2.064 1.534
```

Calculated values
Raw formation energy (meV per atom): -195
Size of the total moment (Bohr magnetons per cell): 0.00
Uncorrected energy (eV per atom): -2.177

=====

DFT (GGA-PBE) results for crystalline LaTcW at its relaxed geometry.

The structure in extended XYZ format:
```
3
Lattice="4.584 0.000 0.000 2.292 3.970 0.000 2.292 1.323 3.743" Properties=species:S:1:pos:R:3 pbc="T T T"
W 0.000 0.000 0.000
Tc 6.876 3.970 2.807
La 4.584 2.647 1.871
```

Calculated values
Size of the total moment (Bohr magnetons per cell): 0.00
Polymorph energy (0 for the lowest one) (meV per atom): 643.2
Uncorrected energy (eV per atom): -8.625
ΔH_f (0 K) (eV per atom): 0.791

=====

DFT (GGA-PBE) results for crystalline CaNbSb at its relaxed geometry.

The structure in extended XYZ format:
```
12
Lattice="-4.942 -0.794 1.491 -1.311 -2.514 -5.685 6.638 -7.304 1.700" Properties=species:S:1:pos:R:3 pbc="T T T"
Sb -2.523 -4.063 -1.171
Sb 1.452 -6.458 2.521
Sb 0.244 -1.640 0.669
Sb 2.907 -6.549 -1.324
Nb -1.910 -3.385 1.937
Nb 3.606 -4.713 1.253
Nb -0.369 -2.318 -2.439
Nb 0.753 -8.294 -0.055
Ca -0.117 -5.899 -2.587
Ca -3.473 -2.319 -3.600
Ca -2.780 -0.989 -0.594
Ca 0.501 -4.714 0.092
```

Calculated values
Raw formation energy (meV per atom): -130
Size of the total moment (Bohr magnetons per cell): 0.00
Uncorrected energy (eV per atom): -5.528

=====

DFT (GGA-PBE) results for crystalline YTiGe at its relaxed geometry.

The structure in extended XYZ format:
```
6
Lattice="4.063 0.000 0.000 0.000 4.063 0.000 0.000 0.000 7.688" Properties=species:S:1:pos:R:3 pbc="T T T"
Ti 2.032 2.032 0.000
Ti 0.000 0.000 0.000
Y 0.000 2.032 2.642
Y 2.032 0.000 5.046
Ge 0.000 2.032 5.826
Ge 2.032 0.000 1.862
```

Calculated values
Size of the total moment (Bohr magnetons per cell): 0.56
Uncorrected energy (eV per atom): -7.037
ΔH_f (0 K) (eV per atom): -0.712

=====

DFT (GGA-PBE) results for crystalline TaCoTe2 at its relaxed geometry.

The structure in extended XYZ format:
```
4
Lattice="7.544 -0.008 -0.005 6.542 3.757 -0.005 6.542 1.741 3.330" Properties=species:S:1:pos:R:3 pbc="T T T"
Te 0.487 0.130 0.078
Te 4.272 1.137 0.688
Co 10.203 2.716 1.642
Ta 15.980 4.254 2.572
```

Calculated values
Raw formation energy (meV per atom): -148
Size of the total moment (Bohr magnetons per cell): 0.00
Uncorrected energy (eV per atom): -6.459

=====

DFT (GGA-PBE) results for crystalline BaTcCl4 at its relaxed geometry.

The structure in extended XYZ format:
```
6
Lattice="0.000 4.336 4.336 4.336 0.000 4.336 4.336 4.336 0.000" Properties=species:S:1:pos:R:3 pbc="T T T"
Cl 3.255 5.416 5.416
Cl 5.416 3.255 5.416
Cl 5.416 5.416 3.255
Cl 3.255 3.255 3.255
Ba 0.000 0.000 0.000
Tc 6.503 6.503 6.503
```

Calculated values
Raw formation energy (meV per atom): 51
Size of the total moment (Bohr magnetons per cell): 6.21
Uncorrected energy (eV per atom): -3.228

=====

DFT (GGA-PBE) results for crystalline YFeSe2 at its relaxed geometry.

The structure in extended XYZ format:
```
4
Lattice="4.901 0.007 0.018 0.147 4.899 -0.018 -2.052 -2.939 3.343" Properties=species:S:1:pos:R:3 pbc="T T T"
Se 0.150 0.146 0.000
Se 2.374 2.307 0.000
Fe 0.309 2.207 1.663
Y 2.687 -0.239 1.680
```

Calculated values
Raw formation energy (meV per atom): -785
Size of the total moment (Bohr magnetons per cell): 2.99
Uncorrected energy (eV per atom): -6.258

=====

DFT (GGA-PBE) results for crystalline Ac3Zn4Hg2 at its relaxed geometry.

The structure in extended XYZ format:
```
9
Lattice="-3.553 3.035 -1.321 -2.108 -5.666 1.579 1.390 4.967 7.674" Properties=species:S:1:pos:R:3 pbc="T T T"
Hg -2.260 1.969 1.677
Hg -2.011 0.367 6.255
Ac 0.000 0.000 0.000
Ac -2.123 -1.118 3.144
Ac -2.148 3.453 4.787
Zn -0.799 2.453 7.786
Zn -3.472 -0.117 0.146
Zn 0.152 1.530 3.107
Zn -4.423 0.806 4.825
```

Calculated values
Size of the total moment (Bohr magnetons per cell): 0.00
Uncorrected energy (eV per atom): -2.358
ΔH_f (0 K) (eV per atom): -0.356

=====

DFT (GGA-PBE) results for crystalline BaTa2In at its relaxed geometry.

The structure in extended XYZ format:
```
4
Lattice="-2.468 4.531 4.121 -5.913 -0.929 2.789 6.336 -1.595 -0.961" Properties=species:S:1:pos:R:3 pbc="T T T"
Ba -4.253 1.828 3.506
Ta -0.530 2.527 3.611
Ta -8.229 3.537 6.784
In -1.607 -0.481 2.412
```

Calculated values
Size of the total moment (Bohr magnetons per cell): 0.00
Polymorph energy (0 for the lowest one) (meV per atom): 393.6
Uncorrected energy (eV per atom): -6.314
ΔH_f (0 K) (eV per atom): 0.778

=====

DFT (GGA-PBE) results for crystalline La3Ce4Ge4 at its relaxed geometry.

The structure in extended XYZ format:
```
11
Lattice="-3.498 -1.758 1.168 4.311 -4.860 5.596 -1.441 9.427 2.729" Properties=species:S:1:pos:R:3 pbc="T T T"
Ce 0.753 -2.008 6.378
Ce -1.380 4.816 3.114
Ce -0.646 -0.430 4.562
Ce 0.019 3.238 4.931
Ge -0.784 -1.967 1.837
Ge 1.597 -4.651 4.927
Ge -2.220 1.909 3.369
Ge 1.593 0.899 6.123
La -0.434 1.667 8.352
La 2.156 -2.430 2.798
La -0.193 1.142 1.141
```

Calculated values
Size of the total moment (Bohr magnetons per cell): 2.82
Uncorrected energy (eV per atom): -5.799
ΔH_f (0 K) (eV per atom): -0.619

=====

DFT (GGA-PBE) results for crystalline Y6InGa2 at its relaxed geometry.

The structure in extended XYZ format:
```
18
Lattice="-3.875 -1.277 4.925 5.755 -5.269 3.161 3.156 6.909 5.770" Properties=species:S:1:pos:R:3 pbc="T T T"
Ga -0.129 0.534 4.021
Ga 4.134 -1.714 3.725
Ga 0.902 2.077 10.132
Ga 5.165 -0.170 9.836
Y 3.675 -4.475 4.824
Y 2.174 5.029 5.398
Y 1.618 -1.298 1.817
Y 4.456 -1.775 7.065
Y 4.000 1.604 7.576
Y 1.036 -1.240 6.281
Y 2.829 1.008 4.293
Y 1.362 4.839 9.033
Y 0.580 2.139 6.792
Y 2.862 -4.666 8.459
Y 3.418 1.662 12.040
Y 2.208 -0.645 9.564
In 0.940 -3.273 4.043
In 1.578 3.454 2.885
```

Calculated values
Size of the total moment (Bohr magnetons per cell): 0.00
Polymorph energy (0 for the lowest one) (meV per atom): 181.6
Uncorrected energy (eV per atom): -5.571
ΔH_f (0 K) (eV per atom): -0.285

=====

DFT (GGA-PBE) results for crystalline CaAgPt3 at its relaxed geometry.

The structure in extended XYZ format:
```
5
Lattice="4.942 0.000 0.000 0.000 4.942 0.000 0.000 0.000 4.942" Properties=species:S:1:pos:R:3 pbc="T T T"
Pt 0.000 0.000 2.471
Pt 0.000 2.471 0.000
Pt 2.471 0.000 0.000
Ag 0.000 0.000 0.000
Ca 2.471 2.471 2.471
```

Calculated values
Size of the total moment (Bohr magnetons per cell): 0.00
Polymorph energy (0 for the lowest one) (meV per atom): 0.0
Uncorrected energy (eV per atom): -4.040
ΔH_f (0 K) (eV per atom): 0.555

=====

DFT (GGA-PBE) results for crystalline Cu2PCl4 at its relaxed geometry.

The structure in extended XYZ format:
```
28
Lattice="-6.759 -0.302 -7.940 4.795 -10.525 -3.681 -4.385 -3.348 3.860" Properties=species:S:1:pos:R:3 pbc="T T T"
Cl 0.884 -8.753 -5.969
Cl 2.979 -8.659 -3.509
Cl -1.150 -4.719 -0.144
Cl -3.104 -9.363 -5.157
Cl -3.244 -4.812 -2.605
Cl -5.565 -6.404 -5.298
Cl -7.233 -5.422 -1.792
Cl -6.468 -2.307 -4.685
Cl -2.781 -6.585 -7.661
Cl -5.198 -9.457 -7.617
Cl 0.119 -11.868 -3.076
Cl -9.327 -5.516 -4.252
Cl -0.784 -7.772 -2.463
Cl -3.568 -7.590 -0.100
Cl -1.515 -1.237 -2.089
Cl -4.833 -12.938 -5.672
P -2.366 -10.776 -1.002
P -3.104 -4.246 -0.622
P -3.982 -3.399 -6.759
P -3.245 -9.929 -7.139
Cu -6.830 -7.798 -4.168
Cu -0.773 -9.969 -2.389
Cu -1.928 -8.515 -8.313
Cu -3.279 -12.179 -7.024
Cu -3.070 -1.996 -0.737
Cu -5.576 -4.206 -5.372
Cu 0.482 -6.378 -3.593
Cu -4.420 -5.661 0.552
```

Calculated values
Raw formation energy (meV per atom): -466
Size of the total moment (Bohr magnetons per cell): 0.00
Uncorrected energy (eV per atom): -3.465

=====

DFT (GGA-PBE) results for crystalline La2Tl3SbTe6 at its relaxed geometry.

The structure in extended XYZ format:
```
12
Lattice="-6.968 2.269 -3.239 4.980 -4.738 -4.116 -2.917 -5.675 5.607" Properties=species:S:1:pos:R:3 pbc="T T T"
La 0.988 -2.396 -3.823
La -2.975 -0.072 -3.532
Tl 1.473 -6.374 -1.163
Tl -6.377 -1.770 -0.587
Tl -2.452 -4.072 -0.875
Te -2.145 -3.120 -4.293
Te -3.020 -0.677 -0.357
Te -1.884 -7.467 -1.392
Te -5.733 -5.210 -1.109
Te 0.829 -2.934 -0.640
Te -2.759 -5.024 2.544
Sb 0.000 0.000 0.000
```

Calculated values
Raw formation energy (meV per atom): -833
Size of the total moment (Bohr magnetons per cell): 0.00
Uncorrected energy (eV per atom): -4.160

=====

DFT (GGA-PBE) results for crystalline CsNa2CdPb at its relaxed geometry.

The structure in extended XYZ format:
```
5
Lattice="-3.463 4.746 1.666 -2.932 -3.548 4.013 3.829 1.383 4.021" Properties=species:S:1:pos:R:3 pbc="T T T"
Pb 1.915 0.691 2.010
Cs -1.283 1.290 4.850
Cd 0.000 0.000 0.000
Na -1.466 -1.774 2.006
Na -1.731 2.373 0.833
```

Calculated values
Size of the total moment (Bohr magnetons per cell): 0.00
Polymorph energy (0 for the lowest one) (meV per atom): 63.0
Uncorrected energy (eV per atom): -1.610
ΔH_f (0 K) (eV per atom): 0.013

=====

DFT (GGA-PBE) results for crystalline MgTc2Mo at its relaxed geometry.

The structure in extended XYZ format:
```
4
Lattice="-1.346 1.499 -1.863 -3.159 0.645 2.802 2.424 4.334 1.735" Properties=species:S:1:pos:R:3 pbc="T T T"
Tc -1.656 2.138 0.897
Tc 0.005 0.009 0.003
Mo -0.422 4.345 1.781
Mg 1.204 2.152 0.862
```

Calculated values
Size of the total moment (Bohr magnetons per cell): 0.00
Uncorrected energy (eV per atom): -8.055
ΔH_f (0 K) (eV per atom): 0.235

=====

DFT (GGA-PBE) results for crystalline Ni2MoHIr at its relaxed geometry.

The structure in extended XYZ format:
```
5
Lattice="3.730 0.000 0.000 0.000 3.730 0.000 0.000 0.000 3.910" Properties=species:S:1:pos:R:3 pbc="T T T"
Ni 1.865 0.000 0.000
Ni 0.000 1.865 0.000
H 0.000 0.000 0.000
Ir 1.865 1.865 1.955
Mo 0.000 0.000 1.955
```

Calculated values
Size of the total moment (Bohr magnetons per cell): 0.00
Uncorrected energy (eV per atom): -6.924

=====

DFT (GGA-PBE) results for crystalline TbNd2Cd2 at its relaxed geometry.

The structure in extended XYZ format:
```
10
Lattice="6.237 0.000 0.000 0.000 9.323 0.000 -3.118 -4.662 5.641" Properties=species:S:1:pos:R:3 pbc="T T T"
Nd 3.118 -1.067 1.366
Nd 0.000 5.728 4.275
Nd 0.000 1.067 1.366
Nd 3.118 3.595 4.275
Cd 0.000 2.431 4.106
Cd 3.118 -2.431 4.106
Cd 3.118 2.230 1.535
Cd 0.000 7.093 1.535
Tb 1.559 4.662 0.000
Tb 4.677 4.662 0.000
```

Calculated values
Size of the total moment (Bohr magnetons per cell): 0.41
Polymorph energy (0 for the lowest one) (meV per atom): 298.8
Uncorrected energy (eV per atom): -3.149
ΔH_f (0 K) (eV per atom): 0.051

=====

DFT (GGA-PBE) results for crystalline Ni2RhAu at its relaxed geometry.

The structure in extended XYZ format:
```
4
Lattice="2.740 0.058 0.000 -0.057 2.740 0.000 0.000 0.000 7.271" Properties=species:S:1:pos:R:3 pbc="T T T"
Ni 1.342 1.399 1.734
Ni 0.000 0.000 0.207
Rh 0.000 0.000 3.408
Au 1.342 1.399 5.557
```

Calculated values
Size of the total moment (Bohr magnetons per cell): 1.96
Uncorrected energy (eV per atom): -5.430
ΔH_f (0 K) (eV per atom): 0.118